Record 1
# Gd3Pu (PBE-GGA, relaxed)
# **Calculated formation energy**: 55 kJ/mol of formula units
# **Distance to the lowest polymorph of the same formula**: 0.049 eV/atom
# **N(E_F)**: 17.5 states/eV/cell
# **Symmetry**: No. 123
# **Calculated volume**: 122.1 Å³/f.u.
data_Gd3Pu
_cell_length_a 4.958
_cell_length_b 4.971
_cell_length_c 4.954
_cell_angle_alpha 90.00
_cell_angle_beta 90.00
_cell_angle_gamma 90.00
_space_group_name_H-M_alt 'P 1'
_space_group_IT_number 1
_space_group_name_Hall 'P 1'
loop_
_atom_site_label
_atom_site_type_symbol
_atom_site_fract_x
_atom_site_fract_y
_atom_site_fract_z
_atom_site_occupancy
Gd1 Gd 0.000 0.000 0.417 1
Gd2 Gd 0.500 0.500 0.417 1
Gd3 Gd 0.500 0.000 0.917 1
Pu1 Pu 0.000 0.500 0.917 1

Record 2
# GdPu2 (PBE-GGA, relaxed)
# **Calculated formation energy**: 92 kJ/mol of formula units
# **Distance to the lowest polymorph of the same formula**: 0.073 eV/atom
# **N(E_F)**: 8.7 states/eV/cell
# **Symmetry**: No. 139
# **Calculated volume**: 66.4 Å³/f.u.
data_GdPu2
_cell_length_a 3.291
_cell_length_b 3.291
_cell_length_c 6.556
_cell_angle_alpha 104.54
_cell_angle_beta 104.54
_cell_angle_gamma 90.00
_space_group_name_H-M_alt 'P 1'
_space_group_IT_number 1
_space_group_name_Hall 'P 1'
loop_
_atom_site_label
_atom_site_type_symbol
_atom_site_fract_x
_atom_site_fract_y
_atom_site_fract_z
_atom_site_occupancy
Gd1 Gd 0.000 0.000 0.000 1
Pu1 Pu 0.716 0.716 0.432 1
Pu2 Pu 0.284 0.284 0.568 1

Record 3
# Gd3Pu (PBE-GGA, relaxed)
# **Calculated formation energy**: 36 kJ/mol of formula units
# **Distance to the lowest polymorph of the same formula**: 0.000 eV/atom
# **N(E_F)**: 10.4 states/eV/cell
# **Symmetry**: No. 44
# **Calculated volume**: 125.1 Å³/f.u.
data_Gd3Pu
_cell_length_a 3.561
_cell_length_b 6.182
_cell_length_c 6.708
_cell_angle_alpha 117.44
_cell_angle_beta 105.39
_cell_angle_gamma 90.00
_space_group_name_H-M_alt 'P 1'
_space_group_IT_number 1
_space_group_name_Hall 'P 1'
loop_
_atom_site_label
_atom_site_type_symbol
_atom_site_fract_x
_atom_site_fract_y
_atom_site_fract_z
_atom_site_occupancy
Gd1 Gd 0.256 0.592 0.512 1
Gd2 Gd 0.744 0.081 0.488 1
Gd3 Gd 0.500 0.490 0.000 1
Pu1 Pu 0.000 0.004 0.000 1

Record 4
# Gd2PuRh (PBE-GGA, relaxed)
# **Calculated formation energy**: -118 kJ/mol of formula units
# **Distance to the lowest polymorph of the same formula**: 0.000 eV/atom
# **N(E_F)**: 7.3 states/eV/cell
# **Symmetry**: No. 123
# **Calculated volume**: 103.8 Å³/f.u.
data_Gd2PuRh
_cell_length_a 3.499
_cell_length_b 3.499
_cell_length_c 8.475
_cell_angle_alpha 90.00
_cell_angle_beta 90.00
_cell_angle_gamma 90.00
_space_group_name_H-M_alt 'P 1'
_space_group_IT_number 1
_space_group_name_Hall 'P 1'
loop_
_atom_site_label
_atom_site_type_symbol
_atom_site_fract_x
_atom_site_fract_y
_atom_site_fract_z
_atom_site_occupancy
Gd1 Gd 0.000 0.000 0.804 1
Gd2 Gd 0.000 0.000 0.196 1
Rh1 Rh 0.500 0.500 0.000 1
Pu1 Pu 0.500 0.500 0.500 1